A relaxed YSc2Ru crystal. Source: the Alexandria database, functional GGA-PBEsol.

Cell and atoms, written as extended XYZ:
```
4
Lattice="-0.145 3.218 -0.092 -1.483 -0.146 -2.857 -7.354 -0.221 3.828" Properties=species:S:1:pos:R:3 pbc="T T T"
Y -4.491 1.425 0.439
Ru -0.814 1.536 -1.474
Sc -1.335 -0.040 0.695
Sc -6.019 -0.181 3.133
```

## Properties
**Total energy**: -0.2881 Ha/atom
**Distance to the lowest polymorph of the same formula**: 0 meV/atom
**Space-group type**: P4/mmm, No. 123
**Magnetization**: 0.00 μB per atom
**Calculated formation energy**: -0.289 eV/atom



A relaxed Y2ScRu2 crystal. Source: the Alexandria database, functional GGA-PBEsol.

Cell and atoms, written as extended XYZ:
```
10
Lattice="-0.471 -3.124 2.876 6.943 -0.394 0.709 -0.253 4.752 5.120" Properties=species:S:1:pos:R:3 pbc="T T T"
Y 0.812 1.579 5.021
Y 4.246 2.090 6.138
Y 5.406 -0.345 3.684
Y 1.972 -0.856 2.567
Ru 2.378 4.008 4.742
Ru 5.913 2.628 3.823
Ru 4.311 0.350 1.086
Ru 0.777 1.730 2.006
Sc 0.000 0.000 0.000
Sc 3.345 2.179 2.914
```

## Properties
**Total energy**: -0.3077 Ha/atom
**Space-group type**: P4/mbm, No. 127
**Magnetization**: 0.00 μB per atom
**Calculated formation energy**: -0.255 eV/atom



A relaxed Sc3ZnRu crystal. Source: the Alexandria database, functional GGA-PBEsol.

Cell and atoms, written as extended XYZ:
```
5
Lattice="4.898 0.000 0.000 0.000 4.898 0.000 0.000 0.000 4.898" Properties=species:S:1:pos:R:3 pbc="T T T"
Sc 0.000 2.449 0.000
Sc 0.000 0.000 2.449
Sc 2.449 0.000 0.000
Ru 0.000 0.000 0.000
Zn 2.449 2.449 2.449
```

## Properties
**Total energy**: -0.2299 Ha/atom
**Distance to the lowest polymorph of the same formula**: 0 meV/atom
**Space-group type**: Pm-3m, No. 221
**Magnetization**: 0.00 μB per atom
**Calculated formation energy**: 0.058 eV/atom



A relaxed Sc2ZnRu crystal. Source: the Alexandria database, functional GGA-PBEsol.

Cell and atoms, written as extended XYZ:
```
4
Lattice="-1.765 1.552 -1.910 -3.000 -0.411 0.037 -2.428 7.065 5.584" Properties=species:S:1:pos:R:3 pbc="T T T"
Sc -4.978 2.833 -0.302
Sc -2.216 5.373 4.013
Ru 0.000 0.000 0.000
Zn -3.597 4.103 1.856
```

## Properties
**Total energy**: -0.2215 Ha/atom
**Space-group type**: R-3m, No. 166
**Magnetization**: 0.00 μB per atom
**Calculated formation energy**: 0.214 eV/atom



A relaxed Sc3ZnRu crystal. Source: the Alexandria database, functional GGA-PBEsol.

Cell and atoms, written as extended XYZ:
```
5
Lattice="4.790 0.000 0.000 0.000 4.790 0.000 0.000 0.000 4.790" Properties=species:S:1:pos:R:3 pbc="T T T"
Sc 0.000 2.395 0.000
Sc 0.000 0.000 2.395
Sc 2.395 0.000 0.000
Ru 2.395 2.395 2.395
Zn 0.000 0.000 0.000
```

## Properties
**Total energy**: -0.2055 Ha/atom
**Distance to the lowest polymorph of the same formula**: 664 meV/atom
**Space-group type**: Pm-3m, No. 221
**Magnetization**: 0.00 μB per atom
**Calculated formation energy**: 0.721 eV/atom



A relaxed ScZnRu2 crystal. Source: the Alexandria database, functional GGA-PBEsol.

Cell and atoms, written as extended XYZ:
```
4
Lattice="3.055 0.000 0.000 0.000 4.227 0.000 -1.528 -2.113 4.528" Properties=species:S:1:pos:R:3 pbc="T T T"
Sc 0.000 2.113 4.478
Ru 0.000 2.113 0.044
Ru 1.528 2.113 2.154
Zn 0.000 0.000 2.380
```

## Properties
**Total energy**: -0.2696 Ha/atom
**Space-group type**: Imm2, No. 44
**Magnetization**: 0.00 μB per atom
**Calculated formation energy**: -0.202 eV/atom



A relaxed ScZn4Ru crystal. Source: the Alexandria database, functional GGA-PBEsol.

Cell and atoms, written as extended XYZ:
```
6
Lattice="4.923 0.000 0.000 2.461 4.263 0.000 2.461 1.421 4.019" Properties=species:S:1:pos:R:3 pbc="T T T"
Ru 2.461 1.421 1.005
Sc 0.000 0.000 0.000
Zn 4.923 2.842 0.513
Zn 3.701 3.548 2.508
Zn 4.923 1.431 2.508
Zn 6.145 3.548 2.508
```

## Properties
**Total energy**: -0.1533 Ha/atom
**Space-group type**: F-43m, No. 216
**Magnetization**: 0.00 μB per atom
**Calculated formation energy**: -0.321 eV/atom



A relaxed Sc2ZnRu crystal. Source: the Alexandria database, functional GGA-PBEsol.

Cell and atoms, written as extended XYZ:
```
4
Lattice="3.239 0.000 0.000 0.000 3.239 0.000 0.000 0.000 6.482" Properties=species:S:1:pos:R:3 pbc="T T T"
Sc 0.000 0.000 4.752
Sc 0.000 0.000 1.730
Ru 1.619 1.619 3.241
Zn 1.619 1.619 0.000
```

## Properties
**Total energy**: -0.2481 Ha/atom
**Space-group type**: P4/mmm, No. 123
**Magnetization**: 0.00 μB per atom
**Calculated formation energy**: -0.511 eV/atom



A relaxed ScZnRu2 crystal. Source: the Alexandria database, functional GGA-PBEsol.

Cell and atoms, written as extended XYZ:
```
4
Lattice="2.827 0.000 0.038 0.000 4.363 0.000 -1.015 0.000 4.751" Properties=species:S:1:pos:R:3 pbc="T T T"
Ru 0.291 0.000 0.149
Ru 1.893 2.182 0.988
Sc 0.976 0.000 2.542
Zn -0.441 2.182 3.505
```

## Properties
**Total energy**: -0.2666 Ha/atom
**Space-group type**: Pm, No. 6
**Magnetization**: 0.00 μB per atom
**Calculated formation energy**: -0.120 eV/atom



A relaxed Zr2ScRu crystal. Source: the Alexandria database, functional GGA-PBEsol.

Cell and atoms, written as extended XYZ:
```
4
Lattice="3.223 0.000 0.000 0.000 3.223 0.000 0.000 0.000 7.511" Properties=species:S:1:pos:R:3 pbc="T T T"
Sc 1.612 1.612 5.287
Ru 0.000 0.000 3.727
Zr 0.000 0.000 0.085
Zr 1.612 1.612 2.168
```

## Properties
**Total energy**: -0.3321 Ha/atom
**Distance to the lowest polymorph of the same formula**: 20 meV/atom
**Space-group type**: P4mm, No. 99
**Magnetization**: 0.00 μB per atom
**Calculated formation energy**: -0.298 eV/atom



A relaxed Zr2ScRu crystal. Source: the Alexandria database, functional GGA-PBEsol.

Cell and atoms, written as extended XYZ:
```
4
Lattice="-2.395 -2.032 -0.295 0.347 -1.030 4.281 -2.428 4.970 1.392" Properties=species:S:1:pos:R:3 pbc="T T T"
Ru -2.388 1.442 0.540
Sc -2.377 2.464 3.063
Zr -4.822 2.936 1.097
Zr -2.125 -0.528 2.323
```

## Properties
**Total energy**: -0.3271 Ha/atom
**Distance to the lowest polymorph of the same formula**: 157 meV/atom
**Space-group type**: Pm, No. 6
**Magnetization**: 0.00 μB per atom
**Calculated formation energy**: -0.161 eV/atom



A relaxed ZrScRu crystal. Source: the Alexandria database, functional GGA-PBEsol.

Cell and atoms, written as extended XYZ:
```
3
Lattice="-2.577 1.756 0.863 -1.930 -2.049 -1.595 1.730 -2.784 4.766" Properties=species:S:1:pos:R:3 pbc="T T T"
Sc -2.408 -1.011 0.931
Ru -2.774 -3.061 4.008
Zr -0.372 -2.083 3.128
```

## Properties
**Total energy**: -0.3299 Ha/atom
**Distance to the lowest polymorph of the same formula**: 0 meV/atom
**Space-group type**: I4mm, No. 107
**Magnetization**: 0.26 μB per atom
**Calculated formation energy**: -0.356 eV/atom



A relaxed ZrScRu crystal. Source: the Alexandria database, functional GGA-PBEsol.

Cell and atoms, written as extended XYZ:
```
3
Lattice="4.448 0.000 0.000 2.224 3.852 0.000 2.224 1.284 3.632" Properties=species:S:1:pos:R:3 pbc="T T T"
Ru 2.224 1.284 0.908
Sc 0.000 0.000 0.000
Zr 4.448 2.568 1.816
```

## Properties
**Total energy**: -0.3241 Ha/atom
**Distance to the lowest polymorph of the same formula**: 158 meV/atom
**Space-group type**: F-43m, No. 216
**Magnetization**: 0.00 μB per atom
**Calculated formation energy**: -0.198 eV/atom



A relaxed Zr2ScRu crystal. Source: the Alexandria database, functional GGA-PBEsol.

Cell and atoms, written as extended XYZ:
```
4
Lattice="-2.303 2.210 0.856 0.098 -1.666 4.566 4.592 2.940 -1.614" Properties=species:S:1:pos:R:3 pbc="T T T"
Sc 0.049 -0.833 2.283
Ru -1.152 1.105 0.428
Zr 0.897 2.112 3.339
Zr 1.490 1.371 0.468
```

## Properties
**Total energy**: -0.3329 Ha/atom
**Distance to the lowest polymorph of the same formula**: 0 meV/atom
**Space-group type**: Immm, No. 71
**Magnetization**: 0.00 μB per atom
**Calculated formation energy**: -0.319 eV/atom



A relaxed Zr2ScRu crystal. Source: the Alexandria database, functional GGA-PBEsol.

Cell and atoms, written as extended XYZ:
```
4
Lattice="3.275 0.000 0.000 0.000 4.804 0.000 -1.638 -2.402 4.911" Properties=species:S:1:pos:R:3 pbc="T T T"
Sc 0.000 2.402 2.129
Ru 0.000 0.000 4.891
Zr 0.000 0.000 0.018
Zr 1.638 0.000 2.784
```

## Properties
**Total energy**: -0.3322 Ha/atom
**Distance to the lowest polymorph of the same formula**: 17 meV/atom
**Space-group type**: Imm2, No. 44
**Magnetization**: 0.00 μB per atom
**Calculated formation energy**: -0.302 eV/atom



A relaxed Zr3ScRu crystal. Source: the Alexandria database, functional GGA-PBEsol.

Cell and atoms, written as extended XYZ:
```
5
Lattice="-4.059 2.433 -0.433 -1.220 -1.249 4.420 2.149 3.886 1.691" Properties=species:S:1:pos:R:3 pbc="T T T"
Sc 0.000 0.000 0.000
Ru -1.565 2.535 2.839
Zr -0.610 -0.624 2.210
Zr 1.075 1.943 0.846
Zr -2.029 1.217 -0.216
```

## Properties
**Total energy**: -0.2703 Ha/atom
**Space-group type**: Pm-3m, No. 221
**Magnetization**: 0.00 μB per atom
**Calculated formation energy**: 1.453 eV/atom



A relaxed Zr2ScRu crystal. Source: the Alexandria database, functional GGA-PBEsol.

Cell and atoms, written as extended XYZ:
```
4
Lattice="-2.277 1.191 -2.936 -1.698 -3.512 -0.108 -1.414 2.705 4.787" Properties=species:S:1:pos:R:3 pbc="T T T"
Ru -1.988 -1.160 -1.522
Sc -2.550 -0.984 1.579
Zr 0.000 0.000 0.000
Zr -2.840 1.368 0.164
```

## Properties
**Total energy**: -0.3228 Ha/atom
**Distance to the lowest polymorph of the same formula**: 273 meV/atom
**Space-group type**: I-4m2, No. 119
**Magnetization**: 0.00 μB per atom
**Calculated formation energy**: -0.045 eV/atom



A relaxed RuSe3 crystal. Source: the Alexandria database, functional GGA-PBEsol.

Cell and atoms, written as extended XYZ:
```
8
Lattice="3.525 0.000 0.000 0.000 6.688 0.000 0.000 0.000 7.379" Properties=species:S:1:pos:R:3 pbc="T T T"
Ru 0.000 3.491 0.000
Ru 1.762 3.197 3.690
Se 1.762 5.212 0.000
Se 0.000 1.476 3.690
Se 0.000 4.551 5.022
Se 0.000 4.551 2.357
Se 1.762 2.138 1.333
Se 1.762 2.138 6.047
```

## Properties
**Total energy**: -0.2033 Ha/atom
**Distance to the lowest polymorph of the same formula**: 0 meV/atom
**Space-group type**: Pmmn, No. 59
**Magnetization**: 0.00 μB per atom
**Energy relative to the elements, uncorrected**: -0.102 eV/atom



A relaxed Ru3Se4 crystal. Source: the Alexandria database, functional GGA-PBEsol.

Cell and atoms, written as extended XYZ:
```
7
Lattice="4.589 0.000 0.000 0.000 5.409 0.000 0.000 -2.705 4.685" Properties=species:S:1:pos:R:3 pbc="T T T"
Ru 0.000 2.705 0.000
Ru 0.000 1.352 2.342
Ru 0.000 -1.352 2.342
Se 3.484 0.000 0.000
Se 1.105 0.000 0.000
Se 2.295 2.705 1.562
Se 2.295 0.000 3.123
```

## Properties
**Total energy**: -0.2133 Ha/atom
**Space-group type**: P6/mmm, No. 191
**Magnetization**: 0.00 μB per atom
**Energy relative to the elements, uncorrected**: 0.755 eV/atom



A relaxed RuSe3 crystal. Source: the Alexandria database, functional GGA-PBEsol.

Cell and atoms, written as extended XYZ:
```
4
Lattice="-3.606 1.996 -1.642 -0.400 -4.270 1.682 -2.087 -0.584 3.872" Properties=species:S:1:pos:R:3 pbc="T T T"
Ru 0.000 0.000 0.000
Se -1.623 -1.782 1.398
Se -2.846 0.706 1.115
Se -4.470 -1.076 2.513
```

## Properties
**Total energy**: -0.1809 Ha/atom
**Distance to the lowest polymorph of the same formula**: 611 meV/atom
**Space-group type**: I4/mmm, No. 139
**Magnetization**: 0.00 μB per atom
**Energy relative to the elements, uncorrected**: 0.509 eV/atom